Record 1
Below is crystalline AcPrHgPt at its relaxed geometry, with properties calculated at the PBE level.

* calculated volume: 28.10 A^3/atom
* D(E_F): 0.83 states/eV/atom
* M_tot: 0.00 μB per atom
* raw total energy: -4.484 eV/atom
* formation enthalpy at 0 K: -676.5 meV per atom

a b c (Å): 7.661 7.661 7.661
angles (deg): 90.00 90.00 90.00
Space group F-43m (No. 216)
Inequivalent atoms, fractional coordinates:
Ac: 0.000 0.000 0.000 [4 per cell]
Pr: 0.000 0.000 0.500 [4 per cell]
Hg: 0.250 0.250 0.250 [4 per cell]
Pt: 0.250 0.250 0.750 [4 per cell]

---

Record 2
Below is crystalline Zr2TeRuPt at its relaxed geometry, with properties calculated at the PBE level.

* calculated volume: 24.28 A^3/atom
* D(E_F): 1.36 states/eV/atom
* M_tot: 0.00 μB per atom
* raw total energy: -6.872 eV/atom
* E_form (uncorrected): 239 meV per atom

a b c (Å): 4.995 4.995 4.866
angles (deg): 90.00 90.00 90.00
Space group P4/mmm (No. 123)
Inequivalent atoms, fractional coordinates:
Zr: 0.000 0.500 0.000 [2 per cell]
Te: 0.000 0.000 0.500 [1 per cell]
Ru: 0.500 0.500 0.000 [1 per cell]
Pt: 0.500 0.500 0.500 [1 per cell]

---

Record 3
Below is crystalline Na2CoB2Pt5 at its relaxed geometry, with properties calculated at the PBE level.

* calculated volume: 14.05 A^3/atom
* D(E_F): 0.64 states/eV/atom
* M_tot: 0.20 μB per atom
* raw total energy: -5.598 eV/atom
* formation enthalpy at 0 K: -267.5 meV per atom

a b c (Å): 10.013 10.013 2.803
angles (deg): 90.00 90.00 90.00
Space group P4/mbm (No. 127)
Inequivalent atoms, fractional coordinates:
Na: 0.182 0.318 0.000 [4 per cell]
Co: 0.000 0.000 0.000 [2 per cell]
B: 0.128 0.628 0.000 [4 per cell]
Pt: 0.000 0.500 0.500 [2 per cell]
Pt: 0.060 0.781 0.500 [8 per cell]

---

Record 4
Below is crystalline Ho2TlSn at its relaxed geometry, with properties calculated at the PBE level.

* calculated volume: 26.64 A^3/atom
* D(E_F): 0.75 states/eV/atom
* M_tot: 0.00 μB per atom
* raw total energy: -4.358 eV/atom
* formation enthalpy at 0 K: -477.2 meV per atom

a b c (Å): 4.982 4.982 4.294
angles (deg): 90.00 90.00 90.00
Space group P4/mmm (No. 123)
Inequivalent atoms, fractional coordinates:
Ho: 0.000 0.500 0.000 [2 per cell]
Tl: 0.000 0.000 0.500 [1 per cell]
Sn: 0.500 0.500 0.500 [1 per cell]

---

Record 5
Below is crystalline GeAu4 at its relaxed geometry, with properties calculated at the PBE level.

* calculated volume: 19.29 A^3/atom
* polymorph energy (0 for the lowest one): 0.000 eV per formula unit
* D(E_F): 0.23 states/eV/atom
* M_tot: 0.00 μB per atom
* raw total energy: -3.489 eV/atom
* formation enthalpy at 0 K: 56.1 meV per atom

a b c (Å): 5.680 5.680 5.977
angles (deg): 90.00 90.00 90.00
Space group P4/nbm (No. 125, origin choice 2)
Inequivalent atoms, fractional coordinates:
Ge: 0.250 0.250 0.000 [2 per cell]
Au: 0.077 0.577 0.284 [8 per cell]

---

Record 6
Below is crystalline La4Pr3Tl2 at its relaxed geometry, with properties calculated at the PBE level.

* calculated volume: 33.16 A^3/atom
* polymorph energy (0 for the lowest one): 0.000 eV per formula unit
* D(E_F): 1.24 states/eV/atom
* M_tot: 0.00 μB per atom
* raw total energy: -4.463 eV/atom
* formation enthalpy at 0 K: -154.4 meV per atom

a b c (Å): 16.384 5.950 6.326
angles (deg): 90.00 104.55 90.00
Space group C2/m (No. 12)
Inequivalent atoms, fractional coordinates:
La: 0.054 0.000 0.276 [4 per cell]
La: 0.226 0.500 0.640 [4 per cell]
Pr: 0.000 0.500 0.500 [2 per cell]
Pr: 0.123 0.500 0.051 [4 per cell]
Tl: 0.158 0.000 0.811 [4 per cell]

---

Record 7
Below is crystalline YTlPb at its relaxed geometry, with properties calculated at the PBE level.

* calculated volume: 33.30 A^3/atom
* polymorph energy (0 for the lowest one): 0.649 eV per formula unit
* D(E_F): 0.25 states/eV/atom
* M_tot: 0.00 μB per atom
* raw total energy: -4.293 eV/atom
* formation enthalpy at 0 K: -113.0 meV per atom

a b c (Å): 7.366 7.366 7.366
angles (deg): 90.00 90.00 90.00
Space group F-43m (No. 216)
Inequivalent atoms, fractional coordinates:
Y: 0.000 0.000 0.000 [4 per cell]
Tl: 0.250 0.250 0.250 [4 per cell]
Pb: 0.250 0.250 0.750 [4 per cell]

---

Record 8
Below is crystalline SmDy2H8 at its relaxed geometry, with properties calculated at the PBE level.

* calculated volume: 9.58 A^3/atom
* D(E_F): 0.10 states/eV/atom
* M_tot: 0.00 μB per atom
* raw total energy: -4.324 eV/atom

a b c (Å): 3.670 5.215 11.016
angles (deg): 90.00 90.00 90.00
Space group Immm (No. 71)
Inequivalent atoms, fractional coordinates:
Sm: 0.000 0.000 0.000 [2 per cell]
Dy: 0.000 0.000 0.331 [4 per cell]
H: 0.000 0.220 0.500 [4 per cell]
H: 0.000 0.265 0.164 [8 per cell]
H: 0.000 0.500 0.343 [4 per cell]

---

Record 9
Below is crystalline SrPmZnPb at its relaxed geometry, with properties calculated at the PBE level.

* calculated volume: 29.81 A^3/atom
* D(E_F): 1.04 states/eV/atom
* M_tot: 0.00 μB per atom
* raw total energy: -3.192 eV/atom
* formation enthalpy at 0 K: -338.5 meV per atom

a b c (Å): 7.813 7.813 7.813
angles (deg): 90.00 90.00 90.00
Space group F-43m (No. 216)
Inequivalent atoms, fractional coordinates:
Sr: 0.000 0.000 0.000 [4 per cell]
Pm: 0.000 0.000 0.500 [4 per cell]
Zn: 0.250 0.250 0.250 [4 per cell]
Pb: 0.250 0.250 0.750 [4 per cell]

---

Record 10
Below is crystalline AlCdMo at its relaxed geometry, with properties calculated at the PBE level.

* calculated volume: 16.98 A^3/atom
* polymorph energy (0 for the lowest one): 0.083 eV per formula unit
* D(E_F): 0.66 states/eV/atom
* M_tot: 0.00 μB per atom
* raw total energy: -4.917 eV/atom
* formation enthalpy at 0 K: 246.0 meV per atom

a b c (Å): 4.5818 4.5818 2.8026
angles (deg): 90.00 90.00 120.00
Space group P-6m2 (No. 187)
Inequivalent atoms, fractional coordinates:
Al: 0.0000 0.0000 0.0000 [1 per cell]
Cd: 0.6667 0.3333 0.0000 [1 per cell]
Mo: 0.3333 0.6667 0.5000 [1 per cell]

---

Record 11
Below is crystalline TbPm2SmTl4 at its relaxed geometry, with properties calculated at the PBE level.

* calculated volume: 28.71 A^3/atom
* D(E_F): 0.82 states/eV/atom
* M_tot: 0.00 μB per atom
* raw total energy: -3.914 eV/atom
* formation enthalpy at 0 K: -374.0 meV per atom

a b c (Å): 5.4538 5.4538 26.7505
angles (deg): 90.00 90.00 120.00
Space group R-3m (No. 166, hexagonal axes)
Inequivalent atoms, fractional coordinates:
Tb: 0.0000 0.0000 0.0000 [3 per cell]
Pm: 0.0000 0.0000 0.2503 [6 per cell]
Sm: 0.0000 0.0000 0.5000 [3 per cell]
Tl: 0.0000 0.0000 0.1244 [6 per cell]
Tl: 0.0000 0.0000 0.3744 [6 per cell]

---

Record 12
Below is crystalline Mg3MnAu6 at its relaxed geometry, with properties calculated at the PBE level.

* calculated volume: 17.73 A^3/atom
* D(E_F): 0.26 states/eV/atom
* M_tot: 0.43 μB per atom
* raw total energy: -3.762 eV/atom
* formation enthalpy at 0 K: -400.5 meV per atom

a b c (Å): 7.869 4.719 10.138
angles (deg): 90.00 109.63 90.00
Space group P2_1/m (No. 11)
Inequivalent atoms, fractional coordinates:
Mg: 0.047 0.250 0.384 [2 per cell]
Mg: 0.143 0.750 0.216 [2 per cell]
Mg: 0.275 0.250 0.987 [2 per cell]
Mn: 0.455 0.250 0.583 [2 per cell]
Au: 0.027 0.750 0.918 [2 per cell]
Au: 0.154 0.250 0.676 [2 per cell]
Au: 0.252 0.750 0.511 [2 per cell]
Au: 0.334 0.750 0.827 [2 per cell]
Au: 0.361 0.250 0.294 [2 per cell]
Au: 0.439 0.750 0.131 [2 per cell]